Record 1
Density functional theory data (PBE) for a geometry-optimized BeCrIrRu structure.

Results
The value obtained for the density of states at the Fermi level is 2.93 states/eV/cell. The value obtained for the energy of formation is -27.6 kJ/mol of atoms.

Cell: 2.8378 2.8378 5.9372 Å, 90.00 90.00 90.00°
With the nearest neighbours (Å) after each atom.
Atoms (fractional coordinates):
Cr 0.5000 0.5000 0.1144  4 Ru 2.52, 4 Ir 2.59
Ru 0.0000 0.0000 0.3701  4 Be 2.45, 4 Cr 2.52
Ir 0.0000 0.0000 0.8374  4 Be 2.43, 4 Cr 2.59
Be 0.5000 0.5000 0.6061  4 Ir 2.43, 4 Ru 2.45

Record 2
Density functional theory data (PBE) for a geometry-optimized BeCrSb2Ir structure.

Results
The value obtained for the density of states at the Fermi level is 4.16 states/eV/cell. Its uncorrected formation energy is 26.66 kcal/mol of atoms.

Cell: 4.8875 4.5961 4.8875 Å, 90.00 90.00 90.00°
With the nearest neighbours (Å) after each atom.
Atoms (fractional coordinates):
Sb 0.5000 0.0000 0.0000  2 Cr 2.44
Sb 0.0000 0.0000 0.5000  2 Cr 2.44
Cr 0.0000 0.0000 0.0000  2 Ir 2.30, 4 Sb 2.44
Be 0.5000 0.5000 0.5000  8 Sb 3.35, 4 Ir 3.46
Ir 0.0000 0.5000 0.0000  2 Cr 2.30

Record 3
Density functional theory data (PBE) for a geometry-optimized BeCrSiIr structure.

Results
The value obtained for the density of states at the Fermi level is 1.56 states/eV/cell. Its uncorrected formation energy is -9.91 kcal/mol of atoms.

Cell: 4.0614 4.0614 4.0614 Å, 60.00 60.00 60.00°
With the nearest neighbours (Å) after each atom.
Atoms (fractional coordinates):
Cr 0.7500 0.7500 0.7500  4 Be 2.49, 4 Si 2.49
Ir 0.2500 0.2500 0.2500  4 Be 2.49, 4 Si 2.49
Si 0.0000 0.0000 0.0000  4 Cr 2.49, 4 Ir 2.49
Be 0.5000 0.5000 0.5000  4 Cr 2.49, 4 Ir 2.49

Record 4
Density functional theory data (PBE) for a geometry-optimized Be2CrTcIr structure.

Results
The value obtained for the density of states at the Fermi level is 5.94 states/eV/cell. The value obtained for the energy of formation is 133.8 kJ/mol of atoms.

Cell: 4.1125 4.6800 4.1125 Å, 90.00 90.00 90.00°
With the nearest neighbours (Å) after each atom.
Atoms (fractional coordinates):
Tc 0.0000 0.0000 0.0000  4 Be 2.06
Cr 0.5000 0.5000 0.5000  4 Ir 2.91, 8 Be 3.12
Be 0.0000 0.0000 0.5000  2 Tc 2.06
Be 0.5000 0.0000 0.0000  2 Tc 2.06
Ir 0.0000 0.5000 0.0000  2 Tc 2.34

Record 5
Density functional theory data (PBE) for a geometry-optimized K4BeCr structure.

Results
The value obtained for the density of states at the Fermi level is 3.77 states/eV/cell. The value obtained for the energy of formation is 106.3 kJ/mol of atoms.

Cell: 7.3682 7.3682 7.3682 Å, 60.00 60.00 60.00°
With the nearest neighbours (Å) after each atom.
Atoms (fractional coordinates):
Cr 0.0000 0.0000 0.0000  12 K 4.32, 4 Be 4.51
Be 0.7500 0.7500 0.7500  12 K 4.32, 4 Cr 4.51
K 0.3750 0.3750 0.3750  6 K 3.68
K 0.8750 0.3750 0.3750  6 K 3.68
K 0.3750 0.3750 0.8750  6 K 3.68
K 0.3750 0.8750 0.3750  6 K 3.68

Record 6
Density functional theory data (PBE) for a geometry-optimized KBeCr4 structure.

Results
The value obtained for the density of states at the Fermi level is 8.31 states/eV/cell. The value obtained for the energy of formation is 127.4 kJ/mol of atoms.

Cell: 4.9753 4.9753 4.9753 Å, 60.00 60.00 60.00°
With the nearest neighbours (Å) after each atom.
Atoms (fractional coordinates):
Be 0.0000 0.0000 0.0000  12 Cr 2.92, 4 K 3.05
Cr 0.3751 0.8746 0.3751  6 Cr 2.48-2.49
Cr 0.3751 0.3751 0.8746  6 Cr 2.48-2.49
Cr 0.8746 0.3751 0.3751  6 Cr 2.48-2.49
Cr 0.3751 0.3751 0.3751  6 Cr 2.48-2.49
K 0.7500 0.7500 0.7500  12 Cr 2.92, 4 Be 3.05

Record 7
Density functional theory data (PBE) for a geometry-optimized KBe2Cr2 structure.

Results
The value obtained for the density of states at the Fermi level is 6.77 states/eV/cell. As for the energy above the lowest structure with this stoichiometry: 119 meV/atom. The value obtained for the energy of formation is 89.8 kJ/mol of atoms.

Cell: 3.4818 3.4818 7.5718 Å, 76.71 76.71 90.00°
With the nearest neighbours (Å) after each atom.
Atoms (fractional coordinates):
Be 0.3524 0.3524 0.2953  4 Cr 2.28
Be 0.6476 0.6476 0.7047  4 Cr 2.28
K 0.0000 0.0000 0.0000  8 Be 3.25, 4 K 3.48
Cr 0.2500 0.7500 0.5000  4 Be 2.28, 4 Cr 2.46
Cr 0.7500 0.2500 0.5000  4 Be 2.28, 4 Cr 2.46

Record 8
Density functional theory data (PBE) for a geometry-optimized KBe2Cr2 structure.

Results
The value obtained for the density of states at the Fermi level is 7.88 states/eV/cell. As for the energy above the lowest structure with this stoichiometry: 0 meV/atom. The value obtained for the energy of formation is 78.3 kJ/mol of atoms.

Cell: 7.8902 7.8902 2.3586 Å, 90.00 90.00 90.00°
With the nearest neighbours (Å) after each atom.
Atoms (fractional coordinates):
Be 0.6681 0.1681 0.0000  2 Be 2.36, 4 Cr 2.48
Be 0.1681 0.3319 0.0000  2 Be 2.36, 4 Cr 2.48
Be 0.3319 0.8319 0.0000  2 Be 2.36, 4 Cr 2.48
Be 0.8319 0.6681 0.0000  2 Be 2.36, 4 Cr 2.48
Cr 0.1007 0.6007 0.5000  3 Cr 2.25-2.36, 4 Be 2.48
Cr 0.8993 0.3993 0.5000  3 Cr 2.25-2.36, 4 Be 2.48
Cr 0.3993 0.1007 0.5000  3 Cr 2.25-2.36, 4 Be 2.48
Cr 0.6007 0.8993 0.5000  3 Cr 2.25-2.36, 4 Be 2.48
K 0.5000 0.5000 0.0000  2 K 2.36
K 0.0000 0.0000 0.0000  2 K 2.36

Record 9
Density functional theory data (PBE) for a geometry-optimized K2Be4Cr structure.

Results
The value obtained for the density of states at the Fermi level is 3.58 states/eV/cell. The value obtained for the energy of formation is 109.6 kJ/mol of atoms.

Cell: 4.6196 4.6196 8.9176 Å, 74.99 74.99 90.00°
With the nearest neighbours (Å) after each atom.
Atoms (fractional coordinates):
Be 0.8717 0.8717 0.2566  1 Cr 2.13
Be 0.0000 0.5000 0.0000  2 Cr 2.31
Be 0.5000 0.0000 0.0000  2 Cr 2.31
Be 0.1283 0.1283 0.7434  1 Cr 2.13
K 0.3493 0.3493 0.3013  9 Be 3.29-3.67
K 0.6507 0.6507 0.6987  9 Be 3.29-3.67
Cr 0.0000 0.0000 0.0000  6 Be 2.13-2.31

Record 10
Density functional theory data (PBE) for a geometry-optimized KBe2Cr4 structure.

Results
The value obtained for the density of states at the Fermi level is 5.94 states/eV/cell. The value obtained for the energy of formation is 187.3 kJ/mol of atoms.

Cell: 4.8336 4.8336 7.1392 Å, 70.21 70.21 90.00°
With the nearest neighbours (Å) after each atom.
Atoms (fractional coordinates):
Cr 0.7638 0.7638 0.4724  1 Be 2.31
Cr 0.0000 0.5000 0.0000  2 K 2.42, 4 Be 2.62
Cr 0.2362 0.2362 0.5276  1 Be 2.31
Cr 0.5000 0.0000 0.0000  2 K 2.42, 4 Be 2.62
Be 0.4201 0.4201 0.1598  1 Be 2.00
Be 0.5799 0.5799 0.8402  1 Be 2.00
K 0.0000 0.0000 0.0000  4 Cr 2.42

Record 11
Density functional theory data (PBE) for a geometry-optimized KBe2CrMo structure.

Results
The value obtained for the density of states at the Fermi level is 6.95 states/eV/cell. The value obtained for the energy of formation is 291.1 kJ/mol of atoms.

Cell: 4.1882 4.5583 4.1882 Å, 90.00 90.00 90.00°
With the nearest neighbours (Å) after each atom.
Atoms (fractional coordinates):
Cr 0.5000 0.5000 0.5000  4 Mo 2.96, 8 Be 3.10
Be 0.0000 0.0000 0.5000  2 K 2.09
Be 0.5000 0.0000 0.0000  2 K 2.09
K 0.0000 0.0000 0.0000  4 Be 2.09, 2 Mo 2.28
Mo 0.0000 0.5000 0.0000  2 K 2.28

Record 12
Density functional theory data (PBE) for a geometry-optimized KNaBe2Cr structure.

Results
The value obtained for the density of states at the Fermi level is 3.65 states/eV/cell. The value obtained for the energy of formation is 109.6 kJ/mol of atoms.

Cell: 4.7279 5.7390 4.7279 Å, 90.00 90.00 90.00°
With the nearest neighbours (Å) after each atom.
Atoms (fractional coordinates):
K 0.0000 0.5000 0.0000  2 Cr 2.87
Na 0.5000 0.5000 0.5000  4 K 3.34, 8 Be 3.72
Be 0.0000 0.0000 0.5000  2 Cr 2.36
Be 0.5000 0.0000 0.0000  2 Cr 2.36
Cr 0.0000 0.0000 0.0000  4 Be 2.36

Per-record ρ, g cm⁻³: 12.30 7.51 9.86 7.56 1.28 4.88 3.08 3.64 1.56 3.01 4.26 1.71